First-principles (GGA-PBE) data for La2TbCoC2 after structural relaxation, as listed in the Alexandria database.

Properties
D(E_F) (states/eV per cell): 10.651
Energy of formation (eV/f.u.): -0.14
Total magnetic moment (μB/cell): 3.08

Lattice parameters (Å, degrees): 5.6891 11.3964 3.7777 90.00 90.00 90.00
Closest atoms and distances in Å follow each position.
Space group Pnnm (No. 58)
Symmetry-distinct sites (fractional):
La (0.0235, 0.2019, 0.0000) x4  3 C 2.57-2.70
Tb (0.0000, 0.5000, 0.5000) x2  4 C 2.61
Co (0.0000, 0.0000, 0.5000) x2  2 C 1.87
C (0.2426, 0.6023, 0.0000) x4  1 Co 1.87